## Nd8SmRh2 (PBE-GGA)

Data for Nd8SmRh2 after structural relaxation.

* formation energy from the elements: -0.196 eV per atom
* density of states at the Fermi level: 1.089 states/eV/atom
* total DFT energy (no corrections): -0.39906 Ry per atom
* volume: 350.1 Å³/cell

Lattice parameters (Å, degrees): 6.579 8.351 8.351 50.09 95.28 95.28
Fractional coordinates of all 11 atoms:
Nd 0.125 0.784 0.784
Nd 0.152 0.425 0.425
Sm 0.000 0.000 0.000
Nd 0.409 0.371 0.878
Rh 0.321 0.265 0.265
Nd 0.848 0.575 0.575
Nd 0.591 0.629 0.122
Nd 0.875 0.216 0.216
Rh 0.679 0.735 0.735
Nd 0.409 0.878 0.371
Nd 0.591 0.122 0.629